# PBE with a Hubbard U CsIrWO6, optimized geometry
# uncorrected energy = -241.29 eV per cell
data_CsIrWO6
_chemical_formula_sum 'Cs4 Ir4 W4 O24'
_cell_length_a 7.2329
_cell_length_b 7.4238
_cell_length_c 10.4393
_cell_angle_alpha 90.00
_cell_angle_beta 90.00
_cell_angle_gamma 90.00
_symmetry_space_group_name_H-M 'I m m a'
_symmetry_Int_Tables_number 74
_symmetry_space_group_name_Hall '-I 2b 2'
loop_
_atom_site_label
_atom_site_type_symbol
_atom_site_fract_x
_atom_site_fract_y
_atom_site_fract_z
Cs1 Cs 0.0000 0.2500 0.1216
Ir1 Ir 0.2500 0.2500 0.7500
W1 W 0.0000 0.0000 0.5000
O1 O 0.0000 0.2500 0.4366
O2 O 0.0000 0.2500 0.8130
O3 O 0.1915 0.0622 0.6211